No. 1
# KMgCrAs PBE relaxed
# **Crystal system**: orthorhombic
# **Energy above the lowest structure with this stoichiometry**: 7.5 kJ/mol of atoms
# **Energy of formation from the pure elements**: 2.51 kcal/mol of atoms
# **Magnetic moment**: 0.959 μB/atom
# **Energy**: -4.13 eV/atom
data_KMgCrAs
_symmetry_space_group_name_H-M 'P m m 2'
_symmetry_Int_Tables_number 25
_cell_length_a 3.603
_cell_length_b 3.664
_cell_length_c 8.325
_cell_angle_alpha 90.00
_cell_angle_beta 90.00
_cell_angle_gamma 90.00
loop_
_symmetry_equiv_pos_as_xyz
'x,y,z'
'-x,-y,z'
'-x,y,z'
'x,-y,z'
loop_
_atom_site_label
_atom_site_fract_x
_atom_site_fract_y
_atom_site_fract_z
K1 0.000 0.000 0.000
Mg1 0.500 0.500 0.349
Cr1 0.500 0.000 0.631
As1 0.000 0.500 0.624

No. 2
# Tb5CeIn4 PBE relaxed
# **Crystal system**: tetragonal
# **Energy above the lowest structure with this stoichiometry**: 0.0 kJ/mol of atoms
# **Energy of formation from the pure elements**: -8.53 kcal/mol of atoms
# **Magnetic moment**: 0.040 μB/atom
# **Energy**: -4.37 eV/atom
data_Tb5CeIn4
_symmetry_space_group_name_H-M 'P 4/m m m'
_symmetry_Int_Tables_number 123
_symmetry_space_group_name_Hall '-P 4 2'
_cell_length_a 3.536
_cell_length_b 3.536
_cell_length_c 22.006
_cell_angle_alpha 90.00
_cell_angle_beta 90.00
_cell_angle_gamma 90.00
loop_
_atom_site_label
_atom_site_fract_x
_atom_site_fract_y
_atom_site_fract_z
Tb1 0.000 0.000 0.000
Tb2 0.000 0.000 0.195
Tb3 0.000 0.000 0.389
Ce1 0.500 0.500 0.500
In1 0.500 0.500 0.097
In2 0.500 0.500 0.293

No. 3
# LiPu2Se3 PBE relaxed
# **Crystal system**: orthorhombic
# **ΔE_f (raw)**: -1.469 eV/atom
# **Magnetic moment**: 1.833 μB/atom
# **Energy**: -8.31 eV/atom
data_LiPu2Se3
_symmetry_space_group_name_H-M 'I m m m'
_symmetry_Int_Tables_number 71
_symmetry_space_group_name_Hall '-I 2 2'
_cell_length_a 4.137
_cell_length_b 5.811
_cell_length_c 12.323
_cell_angle_alpha 90.00
_cell_angle_beta 90.00
_cell_angle_gamma 90.00
loop_
_atom_site_label
_atom_site_fract_x
_atom_site_fract_y
_atom_site_fract_z
Li1 0.000 0.000 0.000
Pu1 0.000 0.000 0.334
Se1 0.000 0.500 0.000
Se2 0.000 0.500 0.333